This record from the Alexandria database describes crystalline NpPdS2 at its relaxed geometry. The functional is PBE.

Cell and atoms, written as POSCAR:
```
NpPdS2
1.0
6.400 0.000 0.000
0.000 7.047 0.000
-0.995 0.000 6.771
Np Pd S
4 4 8
Cartesian
1.008 0.408 2.033 Np
0.510 3.116 5.419 Np
4.895 3.932 1.352 Np
4.397 6.639 4.738 Np
2.255 4.770 3.171 Pd
1.758 5.801 6.556 Pd
3.647 1.247 0.215 Pd
3.149 2.277 3.601 Pd
-0.100 5.181 3.407 S
0.397 5.390 0.021 S
1.810 0.710 4.756 S
2.308 2.814 1.370 S
3.097 4.233 5.401 S
3.595 6.338 2.015 S
5.007 1.657 6.750 S
5.505 1.867 3.364 S
```

Values from the calculation:
Polymorph energy (0 for the lowest one) ... 10.8 meV/atom
Formation energy from raw total energies ... -0.9671 eV/atom
Symmetry ... P2_1/c


This record from the Alexandria database describes crystalline NpPdS2 at its relaxed geometry. The functional is PBE.

Cell and atoms, written as POSCAR:
```
NpPdS2
1.0
1.928 1.113 6.074
-1.928 1.113 6.074
0.000 -2.226 6.074
Np Pd S
1 1 2
Cartesian
0.000 0.000 0.000 Np
0.000 0.000 3.483 Pd
0.000 0.000 10.567 S
0.000 0.000 13.766 S
```

Values from the calculation:
Polymorph energy (0 for the lowest one) ... 185.3 meV/atom
Formation energy from raw total energies ... -0.7926 eV/atom
Symmetry ... R3m